# 1
Entry from Alexandria: a geometry-optimized Pu2US6 structure (PBE).

Summary:
- Raw formation energy: -1457 meV/atom
- Final energy: -8.647 eV per atom

```
data_Pu2US6
_chemical_formula_sum 'Pu4 U2 S12'
_cell_length_a 4.567
_cell_length_b 6.440
_cell_length_c 13.572
_cell_angle_alpha 90.00
_cell_angle_beta 90.00
_cell_angle_gamma 90.00
_symmetry_space_group_name_H-M 'I m m m'
_symmetry_Int_Tables_number 71
_symmetry_space_group_name_Hall '-I 2 2'
loop_
_atom_site_label
_atom_site_type_symbol
_atom_site_fract_x
_atom_site_fract_y
_atom_site_fract_z
_atom_site_occupancy
Pu1 Pu 0.000 0.000 0.167 1
U1 U 0.000 0.000 0.500 1
S1 S 0.000 0.248 0.337 1
S2 S 0.000 0.258 0.000 1
```

# 2
Entry from Alexandria: a geometry-optimized PuUS structure (PBE).

Summary:
- Raw formation energy: -1059 meV/atom
- Final energy: -10.975 eV per atom

```
data_PuUS
_chemical_formula_sum 'Pu1 U1 S1'
_cell_length_a 3.5340
_cell_length_b 3.5340
_cell_length_c 5.0676
_cell_angle_alpha 90.00
_cell_angle_beta 90.00
_cell_angle_gamma 120.00
_symmetry_space_group_name_H-M 'P 3 m 1'
_symmetry_Int_Tables_number 156
_symmetry_space_group_name_Hall 'P 3 -2"'
loop_
_atom_site_label
_atom_site_type_symbol
_atom_site_fract_x
_atom_site_fract_y
_atom_site_fract_z
_atom_site_occupancy
Pu1 Pu 0.0000 0.0000 0.0000 1
U1 U 0.3333 0.6667 0.2691 1
S1 S 0.6667 0.3333 0.6443 1
```

# 3
Entry from Alexandria: a geometry-optimized YPu2US4 structure (PBE).

Summary:
- Raw formation energy: -1722 meV/atom
- Final energy: -9.588 eV per atom

```
data_YPu2US4
_chemical_formula_sum 'Y1 Pu2 U1 S4'
_cell_length_a 6.792
_cell_length_b 3.893
_cell_length_c 6.835
_cell_angle_alpha 90.00
_cell_angle_beta 108.96
_cell_angle_gamma 90.00
_symmetry_space_group_name_H-M 'P 1 2/m 1'
_symmetry_Int_Tables_number 10
_symmetry_space_group_name_Hall '-P 2y'
loop_
_atom_site_label
_atom_site_type_symbol
_atom_site_fract_x
_atom_site_fract_y
_atom_site_fract_z
_atom_site_occupancy
Y1 Y 0.000 0.000 0.000 1
Pu1 Pu 0.000 0.500 0.500 1
Pu2 Pu 0.500 0.000 0.500 1
U1 U 0.500 0.500 0.000 1
S1 S 0.251 0.500 0.248 1
S2 S 0.252 0.000 0.751 1
```

# 4
Entry from Alexandria: a geometry-optimized PuZrU2S4 structure (PBE).

Summary:
- Raw formation energy: -1497 meV/atom
- Final energy: -9.243 eV per atom

```
data_PuZrU2S4
_chemical_formula_sum 'Pu1 Zr1 U2 S4'
_cell_length_a 6.535
_cell_length_b 3.784
_cell_length_c 6.797
_cell_angle_alpha 90.00
_cell_angle_beta 108.65
_cell_angle_gamma 90.00
_symmetry_space_group_name_H-M 'P 1 2/m 1'
_symmetry_Int_Tables_number 10
_symmetry_space_group_name_Hall '-P 2y'
loop_
_atom_site_label
_atom_site_type_symbol
_atom_site_fract_x
_atom_site_fract_y
_atom_site_fract_z
_atom_site_occupancy
Pu1 Pu 0.000 0.000 0.000 1
Zr1 Zr 0.500 0.500 0.000 1
U1 U 0.000 0.500 0.500 1
U2 U 0.500 0.000 0.500 1
S1 S 0.255 0.500 0.245 1
S2 S 0.259 0.000 0.758 1
```

# 5
Entry from Alexandria: a geometry-optimized PuVS2 structure (PBE).

Summary:
- Raw formation energy: -672 meV/atom
- Final energy: -8.598 eV per atom

```
data_PuVS2
_chemical_formula_sum 'Pu3 V3 S6'
_cell_length_a 3.2632
_cell_length_b 3.2632
_cell_length_c 25.5502
_cell_angle_alpha 90.00
_cell_angle_beta 90.00
_cell_angle_gamma 120.00
_symmetry_space_group_name_H-M 'R -3 m'
_symmetry_Int_Tables_number 166
_symmetry_space_group_name_Hall '-R 3 2"'
loop_
_atom_site_label
_atom_site_type_symbol
_atom_site_fract_x
_atom_site_fract_y
_atom_site_fract_z
_atom_site_occupancy
Pu1 Pu 0.0000 0.0000 0.0000 1
V1 V 0.0000 0.0000 0.5000 1
S1 S 0.0000 0.0000 0.1096 1
```

# 6
Entry from Alexandria: a geometry-optimized PuV2S6 structure (PBE).

Summary:
- Raw formation energy: -882 meV/atom
- Final energy: -7.252 eV per atom

```
data_PuV2S6
_chemical_formula_sum 'Pu2 V4 S12'
_cell_length_a 11.434
_cell_length_b 4.690
_cell_length_c 7.973
_cell_angle_alpha 90.00
_cell_angle_beta 122.32
_cell_angle_gamma 90.00
_symmetry_space_group_name_H-M 'C 1 2/m 1'
_symmetry_Int_Tables_number 12
_symmetry_space_group_name_Hall '-C 2y'
loop_
_atom_site_label
_atom_site_type_symbol
_atom_site_fract_x
_atom_site_fract_y
_atom_site_fract_z
_atom_site_occupancy
Pu1 Pu 0.000 0.000 0.000 1
V1 V 0.193 0.000 0.581 1
S1 S 0.030 0.000 0.689 1
S2 S 0.149 0.500 0.077 1
S3 S 0.222 0.500 0.630 1
```

# 7
Entry from Alexandria: a geometry-optimized PuVS3 structure (PBE).

Summary:
- Raw formation energy: -1129 meV/atom
- Final energy: -8.295 eV per atom

```
data_PuVS3
_chemical_formula_sum 'Pu4 V4 S12'
_cell_length_a 11.178
_cell_length_b 4.620
_cell_length_c 8.082
_cell_angle_alpha 90.00
_cell_angle_beta 111.24
_cell_angle_gamma 90.00
_symmetry_space_group_name_H-M 'C 1 2/m 1'
_symmetry_Int_Tables_number 12
_symmetry_space_group_name_Hall '-C 2y'
loop_
_atom_site_label
_atom_site_type_symbol
_atom_site_fract_x
_atom_site_fract_y
_atom_site_fract_z
_atom_site_occupancy
Pu1 Pu 0.099 0.000 0.373 1
V1 V 0.145 0.500 0.923 1
S1 S 0.095 0.500 0.190 1
S2 S 0.137 0.000 0.891 1
S3 S 0.155 0.500 0.615 1
```

# 8
Entry from Alexandria: a geometry-optimized PuWS structure (PBE).

Summary:
- Raw formation energy: -642 meV/atom
- Final energy: -11.113 eV per atom

```
data_PuWS
_chemical_formula_sum 'Pu2 W2 S2'
_cell_length_a 3.763
_cell_length_b 3.763
_cell_length_c 8.313
_cell_angle_alpha 90.00
_cell_angle_beta 90.00
_cell_angle_gamma 90.00
_symmetry_space_group_name_H-M 'P 4/n m m'
_symmetry_Int_Tables_number 129
loop_
_symmetry_equiv_pos_as_xyz
'x,y,z'
'-x,-y,-z'
'-y+1/2,x,z'
'y+1/2,-x,-z'
'-x+1/2,-y+1/2,z'
'x+1/2,y+1/2,-z'
'y,-x+1/2,z'
'-y,x+1/2,-z'
'x+1/2,-y,-z'
'-x+1/2,y,z'
'-y,-x,-z'
'y,x,z'
'-x,y+1/2,-z'
'x,-y+1/2,z'
'y+1/2,x+1/2,-z'
'-y+1/2,-x+1/2,z'
loop_
_atom_site_label
_atom_site_type_symbol
_atom_site_fract_x
_atom_site_fract_y
_atom_site_fract_z
_atom_site_occupancy
Pu1 Pu 0.250 0.250 0.180 1
W1 W 0.250 0.250 0.549 1
S1 S 0.250 0.250 0.844 1
```

# 9
Entry from Alexandria: a geometry-optimized Y4Pu3S8 structure (PBE).

Summary:
- Raw formation energy: -1949 meV/atom
- Final energy: -8.740 eV per atom

```
data_Y4Pu3S8
_chemical_formula_sum 'Y8 Pu6 S16'
_cell_length_a 11.105
_cell_length_b 11.120
_cell_length_c 7.858
_cell_angle_alpha 90.00
_cell_angle_beta 134.87
_cell_angle_gamma 90.00
_symmetry_space_group_name_H-M 'C 1 2/m 1'
_symmetry_Int_Tables_number 12
_symmetry_space_group_name_Hall '-C 2y'
loop_
_atom_site_label
_atom_site_type_symbol
_atom_site_fract_x
_atom_site_fract_y
_atom_site_fract_z
_atom_site_occupancy
Y1 Y 0.000 0.000 0.000 1
Y2 Y 0.000 0.000 0.500 1
Y3 Y 0.250 0.250 0.000 1
Pu1 Pu 0.000 0.500 0.500 1
Pu2 Pu 0.250 0.250 0.500 1
S1 S 0.000 0.249 0.000 1
S2 S 0.000 0.250 0.500 1
S3 S 0.247 0.000 0.496 1
S4 S 0.247 0.000 0.996 1
```

# 10
Entry from Alexandria: a geometry-optimized Y5PuS6 structure (PBE).

Summary:
- Raw formation energy: -1978 meV/atom
- Final energy: -7.930 eV per atom

```
data_Y5PuS6
_chemical_formula_sum 'Y10 Pu2 S12'
_cell_length_a 6.786
_cell_length_b 11.772
_cell_length_c 6.806
_cell_angle_alpha 90.00
_cell_angle_beta 109.46
_cell_angle_gamma 90.00
_symmetry_space_group_name_H-M 'C 1 2/m 1'
_symmetry_Int_Tables_number 12
_symmetry_space_group_name_Hall '-C 2y'
loop_
_atom_site_label
_atom_site_type_symbol
_atom_site_fract_x
_atom_site_fract_y
_atom_site_fract_z
_atom_site_occupancy
Y1 Y 0.000 0.000 0.000 1
Y2 Y 0.000 0.168 0.500 1
Y3 Y 0.000 0.332 0.000 1
Pu1 Pu 0.000 0.500 0.500 1
S1 S 0.249 0.000 0.751 1
S2 S 0.249 0.167 0.249 1
```

# 11
Entry from Alexandria: a geometry-optimized Y6PuS8 structure (PBE).

Summary:
- Raw formation energy: -2002 meV/atom
- Final energy: -7.744 eV per atom

```
data_Y6PuS8
_chemical_formula_sum 'Y24 Pu4 S32'
_cell_length_a 11.075
_cell_length_b 11.075
_cell_length_c 11.075
_cell_angle_alpha 90.00
_cell_angle_beta 90.00
_cell_angle_gamma 90.00
_symmetry_space_group_name_H-M 'F m -3 m'
_symmetry_Int_Tables_number 225
_symmetry_space_group_name_Hall '-F 4 2 3'
loop_
_atom_site_label
_atom_site_type_symbol
_atom_site_fract_x
_atom_site_fract_y
_atom_site_fract_z
_atom_site_occupancy
Y1 Y 0.000 0.250 0.250 1
Pu1 Pu 0.000 0.000 0.000 1
S1 S 0.000 0.000 0.253 1
S2 S 0.250 0.250 0.250 1
```

# 12
Entry from Alexandria: a geometry-optimized YPu2S5 structure (PBE).

Summary:
- Raw formation energy: -1465 meV/atom
- Final energy: -8.435 eV per atom

```
data_YPu2S5
_chemical_formula_sum 'Y4 Pu8 S20'
_cell_length_a 5.308
_cell_length_b 8.618
_cell_length_c 15.253
_cell_angle_alpha 90.00
_cell_angle_beta 90.00
_cell_angle_gamma 90.00
_symmetry_space_group_name_H-M 'F m m m'
_symmetry_Int_Tables_number 69
_symmetry_space_group_name_Hall '-F 2 2'
loop_
_atom_site_label
_atom_site_type_symbol
_atom_site_fract_x
_atom_site_fract_y
_atom_site_fract_z
_atom_site_occupancy
Y1 Y 0.000 0.000 0.000 1
Pu1 Pu 0.000 0.000 0.323 1
S1 S 0.000 0.000 0.500 1
S2 S 0.000 0.164 0.158 1
```

Number 1: mass density 7.64 g/cm3. Number 2: mass density 15.57 g/cm3. Number 3: mass density 9.16 g/cm3. Number 4: mass density 9.80 g/cm3. Number 5: mass density 7.59 g/cm3. Number 6: mass density 4.95 g/cm3. Number 7: mass density 6.68 g/cm3. Number 8: mass density 12.98 g/cm3. Number 9: mass density 6.49 g/cm3. Number 10: mass density 5.71 g/cm3. Number 11: mass density 5.06 g/cm3. Number 12: mass density 7.02 g/cm3.